Record 1
{
  "formula": "SrMn2BiO6",
  "functional": "GGA-PBEsol",
  "state": "optimized geometry",
  "cell": [[-4.0672, -0.1158, -3.5803], [4.9583, -1.7337, -1.4744], [0.8705, -5.2865, -0.8179]],
  "species": ["Sr", "Mn", "Mn", "Bi", "O", "O", "O", "O", "O", "O"],
  "fractional_positions": [[0.0289, 0.0578, 0.9711], [0.7827, 0.5655, 0.7173], [0.2827, 0.5655, 0.2173], [0.4889, 0.9778, 0.5111], [0.5417, 0.6039, 0.4583], [0.0623, 0.6039, 0.9377], [0.5417, 0.6039, 0.9377], [0.0623, 0.6039, 0.4583], [0.5416, 0.0833, 0.9584], [0.0416, 0.0833, 0.4584]],
  "de_polymorph_ev_per_atom": 0.007,
  "sg": "I4mm, No. 107",
  "crystal_system": "tetragonal"
}

Record 2
{
  "formula": "MgBe2W",
  "functional": "GGA-PBEsol",
  "state": "optimized geometry",
  "cell": [[2.7491, 0.0000, 0.0000], [0.0000, 4.2401, 0.0306], [0.0000, -0.1049, 4.2390]],
  "species": ["Be", "Be", "Mg", "W"],
  "fractional_positions": [[0.0000, 0.5000, 0.0000], [0.0000, 0.0000, 0.5000], [0.5000, 0.0000, 0.0000], [0.5000, 0.5000, 0.5000]],
  "ef_ev_per_atom": 0.25,
  "sg": "Cmmm, No. 65",
  "crystal_system": "orthorhombic"
}